A plane-wave DFT calculation with PBE-GGA was carried out for ZnRuAu2 after structural relaxation.

Results
Fermi-level density of states = 4.12 states/eV/f.u.

abc: 2.761 4.029 5.784
angles: 90.00 90.00 90.00
Atoms (fractional coordinates):
Zn  0.000  0.000  0.000
Ru  0.000  0.000  0.500
Au  0.500  0.500  0.249
Au  0.500  0.500  0.751

=====

A plane-wave DFT calculation with PBE-GGA was carried out for Zn2RuAu after structural relaxation.

Results
Fermi-level density of states = 3.12 states/eV/f.u.

abc: 3.219 3.219 5.847
angles: 90.00 90.00 90.00
Atoms (fractional coordinates):
Zn  0.000  0.000  0.000
Zn  0.500  0.500  0.254
Ru  0.500  0.500  0.792
Au  0.000  0.000  0.501

=====

A plane-wave DFT calculation with PBE-GGA was carried out for Zn2RuAu after structural relaxation.

Results
Fermi-level density of states = 2.21 states/eV/f.u.

abc: 3.102 4.308 9.032
angles: 90.00 90.00 90.00
Atoms (fractional coordinates):
Zn  0.000  0.000  0.000
Zn  0.000  0.500  0.255
Zn  0.500  0.000  0.755
Zn  0.500  0.500  0.500
Ru  0.000  0.000  0.512
Ru  0.500  0.500  0.012
Au  0.000  0.500  0.749
Au  0.500  0.000  0.249

=====

A plane-wave DFT calculation with PBE-GGA was carried out for ZnRuAu2 after structural relaxation.

Results
Fermi-level density of states = 3.27 states/eV/f.u.

abc: 2.857 2.857 27.343
angles: 90.00 90.00 120.00
Atoms (fractional coordinates):
Zn  0.000  0.000  0.000
Zn  0.333  0.667  0.667
Zn  0.667  0.333  0.333
Ru  0.000  0.000  0.500
Ru  0.333  0.667  0.167
Ru  0.667  0.333  0.833
Au  0.000  0.000  0.252
Au  0.000  0.000  0.748
Au  0.333  0.667  0.415
Au  0.333  0.667  0.919
Au  0.667  0.333  0.081
Au  0.667  0.333  0.585

=====

A plane-wave DFT calculation with PBE-GGA was carried out for Zn2RuAu after structural relaxation.

Results
Fermi-level density of states = 2.61 states/eV/f.u.

abc: 3.817 3.817 8.341
angles: 90.00 90.00 90.00
Atoms (fractional coordinates):
Zn  0.000  0.000  0.000
Zn  0.000  0.500  0.250
Zn  0.500  0.000  0.750
Zn  0.500  0.500  0.500
Ru  0.000  0.000  0.500
Ru  0.500  0.500  0.000
Au  0.000  0.500  0.750
Au  0.500  0.000  0.250

=====

A plane-wave DFT calculation with PBE-GGA was carried out for ZnRu3Au after structural relaxation.

Results
Relative energy among the computed polymorphs = 2.76 eV per formula unit
Fermi-level density of states = 5.75 states/eV/f.u.

abc: 4.886 4.886 4.886
angles: 90.00 90.00 90.00
Atoms (fractional coordinates):
Zn  0.000  0.000  0.000
Ru  0.000  0.500  0.500
Ru  0.500  0.000  0.500
Ru  0.500  0.500  0.000
Au  0.500  0.500  0.500

=====

A plane-wave DFT calculation with PBE-GGA was carried out for Zn2RuAu after structural relaxation.

Results
Fermi-level density of states = 1.76 states/eV/f.u.

abc: 2.761 3.973 5.531
angles: 90.00 90.00 90.00
Atoms (fractional coordinates):
Zn  0.000  0.000  0.000
Zn  0.500  0.500  0.273
Ru  0.500  0.500  0.797
Au  0.000  0.000  0.506

=====

A plane-wave DFT calculation with PBE-GGA was carried out for ZnRuAu2 after structural relaxation.

Results
Fermi-level density of states = 2.60 states/eV/f.u.

abc: 2.856 2.856 27.435
angles: 90.00 90.00 120.00
Atoms (fractional coordinates):
Zn  0.000  0.000  0.000
Zn  0.333  0.667  0.667
Zn  0.667  0.333  0.333
Ru  0.000  0.000  0.258
Ru  0.333  0.667  0.925
Ru  0.667  0.333  0.591
Au  0.000  0.000  0.506
Au  0.000  0.000  0.748
Au  0.333  0.667  0.173
Au  0.333  0.667  0.415
Au  0.667  0.333  0.081
Au  0.667  0.333  0.840

=====

A plane-wave DFT calculation with PBE-GGA was carried out for Zn2RuAu after structural relaxation.

Results
Fermi-level density of states = 1.83 states/eV/f.u.

abc: 2.846 2.846 26.099
angles: 90.00 90.00 120.00
Atoms (fractional coordinates):
Zn  0.000  0.000  0.246
Zn  0.000  0.000  0.754
Zn  0.333  0.667  0.421
Zn  0.333  0.667  0.913
Zn  0.667  0.333  0.087
Zn  0.667  0.333  0.579
Ru  0.000  0.000  0.500
Ru  0.333  0.667  0.167
Ru  0.667  0.333  0.833
Au  0.000  0.000  0.000
Au  0.333  0.667  0.667
Au  0.667  0.333  0.333

=====

A plane-wave DFT calculation with PBE-GGA was carried out for Zn9Ru2Au after structural relaxation.

Results
Fermi-level density of states = 5.33 states/eV/f.u.

abc: 3.840 3.840 11.769
angles: 90.00 90.00 90.00
Atoms (fractional coordinates):
Zn  0.000  0.000  0.000
Zn  0.000  0.000  0.334
Zn  0.000  0.000  0.666
Zn  0.000  0.500  0.177
Zn  0.000  0.500  0.500
Zn  0.000  0.500  0.823
Zn  0.500  0.000  0.177
Zn  0.500  0.000  0.500
Zn  0.500  0.000  0.823
Ru  0.500  0.500  0.346
Ru  0.500  0.500  0.654
Au  0.500  0.500  0.000

=====

A plane-wave DFT calculation with PBE-GGA was carried out for ZnRuAu3 after structural relaxation.

Results
Relative energy among the computed polymorphs = 0.44 eV per formula unit
Fermi-level density of states = 3.88 states/eV/f.u.

abc: 5.057 5.057 5.057
angles: 90.00 90.00 90.00
Atoms (fractional coordinates):
Zn  0.000  0.000  0.000
Ru  0.500  0.500  0.500
Au  0.000  0.500  0.500
Au  0.500  0.000  0.500
Au  0.500  0.500  0.000

=====

A plane-wave DFT calculation with PBE-GGA was carried out for ZnRuAu2 after structural relaxation.

Results
Fermi-level density of states = 3.00 states/eV/f.u.

abc: 4.197 2.747 11.263
angles: 90.00 90.00 90.00
Atoms (fractional coordinates):
Zn  0.000  0.000  0.000
Zn  0.000  0.500  0.500
Ru  0.500  0.000  0.408
Ru  0.500  0.500  0.908
Au  0.000  0.000  0.770
Au  0.000  0.500  0.270
Au  0.500  0.000  0.139
Au  0.500  0.500  0.639

=====

no.,VASP energy (eV per atom),energy relative to the elements (eV per atom)
1,-4.09,0.187
2,-3.71,0.069
3,-3.74,0.037
4,-4.10,0.172
5,-3.72,0.056
6,-4.35,2.121
7,-3.74,0.040
8,-4.15,0.122
9,-3.80,-0.026
10,-2.90,-0.126
11,-2.98,1.098
12,-4.12,0.158